1.
A plane-wave DFT calculation with SCAN was carried out for MgMo2Se at its PBEsol-relaxed geometry.

Geometry as POSCAR:
```
MgMo2Se
1.0
4.753 -1.559 0.000
4.753 1.559 0.000
-0.887 0.000 4.361
Mg Mo Se
1 2 1
Cartesian
0.000 0.000 0.000
1.645 0.000 3.220
6.974 0.000 1.142
4.309 0.000 2.181
```

**Energy above the lowest structure with this stoichiometry**: 0 meV per atom
**Final energy**: -23.418 eV/atom
**DOS(E_F)**: 2.6 states/eV/f.u.
**Formation energy from raw total energies**: 0.29 eV/atom



2.
A plane-wave DFT calculation with SCAN was carried out for Nd5Sn4 at its PBEsol-relaxed geometry.

Geometry as POSCAR:
```
Nd5Sn4
1.0
8.103 0.000 0.000
0.000 15.719 0.000
0.000 0.000 8.386
Nd Sn
20 16
Cartesian
0.021 1.523 1.523
0.021 6.337 1.523
1.277 1.948 5.615
1.277 5.912 5.615
1.396 11.789 4.203
2.656 3.930 0.010
2.774 9.807 1.422
2.774 13.771 1.422
4.030 9.382 5.716
4.030 14.196 5.716
4.073 1.523 2.670
4.073 6.337 2.670
5.329 1.948 6.964
5.329 5.912 6.964
5.447 11.789 8.376
6.707 3.930 4.183
6.826 9.807 2.771
6.826 13.771 2.771
8.082 9.382 6.863
8.082 14.196 6.863
0.331 11.789 0.916
1.476 8.484 3.881
1.476 15.095 3.881
1.621 3.930 2.987
2.431 11.789 7.180
2.576 0.624 8.074
2.576 7.235 8.074
3.720 3.930 5.109
4.383 11.789 3.277
5.527 8.484 0.312
5.527 15.095 0.312
5.672 3.930 1.206
6.483 11.789 5.399
6.628 0.624 4.505
6.628 7.235 4.505
7.772 3.930 7.470
```

**Final energy**: -41.070 eV/atom
**DOS(E_F)**: 8.3 states/eV/f.u.